1.
PBE-GGA Nd3YHg2, relaxed; crystal system = orthorhombic; V = 416 Å³/cell; excess energy over the best structure of this formula in the dataset = 255 meV per atom; E_form = -0.083 eV/atom; space-group type = No. 72
1.0
7.2754 0.0000 0.0000
0.0000 7.6248 0.0000
-3.6377 -3.8124 7.4915
Nd Hg Y
6 4 2
Direct
0.5000 0.7500 0.0000
0.7726 0.0226 0.5453
0.7726 0.5226 0.5453
0.2274 0.4774 0.4547
0.2274 0.9774 0.4547
0.5000 0.2500 0.0000
0.4353 0.6372 0.2745
0.1608 0.8628 0.7255
0.8392 0.1372 0.2745
0.5647 0.3628 0.7255
0.0000 0.5000 0.0000
0.0000 0.0000 0.0000

=====

2.
PBE-GGA SmTmPt6, relaxed; crystal system = tetragonal; V = 141 Å³/cell; E_form = -1.007 eV/atom; space-group type = No. 123
1.0
4.1315 0.0000 0.0000
0.0000 4.1315 0.0000
0.0000 0.0000 8.2572
Sm Pt Tm
1 6 1
Direct
0.0000 0.0000 0.0000
0.0000 0.5000 0.7438
0.5000 0.0000 0.7438
0.0000 0.5000 0.2562
0.5000 0.0000 0.2562
0.5000 0.5000 0.0000
0.5000 0.5000 0.5000
0.0000 0.0000 0.5000

=====

3.
PBE-GGA Sc4TlCdIn2, relaxed; crystal system = trigonal; V = 181 Å³/cell; E_form = -0.355 eV/atom; space-group type = No. 166
1.0
5.0379 0.0000 0.0000
2.5190 4.3630 0.0000
2.5190 1.4543 8.2366
Cd Sc In Tl
1 4 2 1
Direct
0.5000 0.5000 0.5000
0.6250 0.6250 0.1250
0.3750 0.3750 0.8750
0.8753 0.8753 0.3742
0.1247 0.1247 0.6258
0.2470 0.2470 0.2591
0.7530 0.7530 0.7409
0.0000 0.0000 0.0000

=====

4.
PBE-GGA Zr2HgHOs, relaxed; crystal system = tetragonal; V = 81 Å³/cell; space-group type = No. 123
1.0
4.6666 0.0000 0.0000
0.0000 4.6666 0.0000
0.0000 0.0000 3.7135
Hg Os H Zr
1 1 1 2
Direct
0.5000 0.5000 0.5000
0.0000 0.0000 0.5000
0.0000 0.0000 0.0000
0.0000 0.5000 0.0000
0.5000 0.0000 0.0000

=====

5.
PBE-GGA SrMgAlGa2, relaxed; crystal system = tetragonal; V = 113 Å³/cell; E_form = -0.378 eV/atom; space-group type = No. 119
1.0
-2.7640 -3.1762 1.3634
-0.5428 -1.3252 -4.1876
6.1048 -1.3778 1.9833
Mg Ga Al Sr
1 2 1 1
Direct
0.2500 0.7500 0.5000
0.3889 0.3889 0.7778
0.6111 0.6111 0.2222
0.7500 0.2500 0.5000
0.0000 0.0000 0.0000

=====

6.
PBE-GGA CdRe3Sb, relaxed; crystal system = cubic; V = 115 Å³/cell; ΔE_f (raw) = 12.2 eV/f.u.; excess energy over the best structure of this formula in the dataset = 0 meV per atom; space-group type = No. 221
1.0
-1.4481 -2.4786 3.9220
4.5571 0.0115 1.6898
-0.8710 4.1808 2.3205
Cd Re Sb
1 3 1
Direct
0.5000 0.5000 0.5000
0.0000 0.5000 0.0000
0.5000 0.0000 0.0000
0.0000 0.0000 0.5000
0.0000 0.0000 0.0000

=====

7.
PBE-GGA LaTc2Te, relaxed; crystal system = tetragonal; V = 79 Å³/cell; ΔE_f (raw) = 0.9 eV/f.u.; excess energy over the best structure of this formula in the dataset = 474 meV per atom; space-group type = No. 123
1.0
-0.4552 -3.4928 -0.6803
2.3607 -1.0672 3.8992
-3.9987 0.0471 2.4338
Tc La Te
2 1 1
Direct
0.0000 0.0000 0.0000
0.0000 0.5000 0.5000
0.5000 0.0000 0.5000
0.5000 0.5000 0.0000

=====

8.
PBE-GGA SrPuGaO6, relaxed; crystal system = trigonal; V = 269 Å³/cell; ΔE_f (raw) = -20.9 eV/f.u.; space-group type = No. 163
1.0
5.3092 0.0000 0.0000
-2.6546 4.5979 0.0000
0.0000 0.0000 11.0181
O Ga Pu Sr
12 2 2 2
Direct
0.6332 0.6328 0.6485
0.3668 0.9997 0.1485
0.3672 0.0003 0.6485
0.9997 0.6328 0.8515
0.0003 0.3672 0.1485
0.0003 0.6332 0.3515
0.3668 0.3672 0.3515
0.6332 0.0003 0.8515
0.9997 0.3668 0.6485
0.3672 0.3668 0.8515
0.6328 0.6332 0.1485
0.6328 0.9997 0.3515
0.6667 0.3333 0.2500
0.3333 0.6667 0.7500
0.6667 0.3333 0.7500
0.3333 0.6667 0.2500
0.0000 0.0000 0.0000
0.0000 0.0000 0.5000

=====

9.
PBE-GGA Al2PtBr, relaxed; crystal system = monoclinic; V = 74 Å³/cell; ΔE_f (raw) = -1.2 eV/f.u.; excess energy over the best structure of this formula in the dataset = 332 meV per atom; space-group type = No. 10
1.0
3.0858 0.0000 0.0000
0.0000 6.9736 -0.0110
0.0000 4.0926 3.4418
Al Br Pt
2 1 1
Direct
0.5000 0.5000 0.0000
0.0000 0.0000 0.0000
0.5000 0.5000 0.5000
0.0000 0.0000 0.5000

=====

10.
PBE-GGA BaLiGePd2, relaxed; crystal system = tetragonal; V = 116 Å³/cell; E_form = -0.430 eV/atom; space-group type = No. 123
1.0
4.9194 0.0000 0.0000
0.0000 4.9194 0.0000
0.0000 0.0000 4.8084
Pd Ge Ba Li
2 1 1 1
Direct
0.5000 0.0000 0.0000
0.0000 0.5000 0.0000
0.0000 0.0000 0.0000
0.5000 0.5000 0.5000
0.0000 0.0000 0.5000

=====

| no. | size of the total moment (μB/cell) | DFT total energy (eV per atom) |
| --- | --- | --- |
| 1 | 0.0 | -3.645 |
| 2 | 0.0 | -6.686 |
| 3 | 0.0 | -4.615 |
| 4 | 0.0 | -6.566 |
| 5 | 0.0 | -2.993 |
| 6 | 1.2 | -6.029 |
| 7 | 0.0 | -6.977 |
| 8 | 2.0 | -7.746 |
| 9 | 0.0 | -4.090 |
| 10 | 0.0 | -4.198 |